Record 1
# SmGa4AgPt2

A relaxed structure of SmGa4AgPt2 (PBE-GGA, the Alexandria database).

Cell: 4.3141 4.3141 27.1544 Å, 90.00 90.00 120.00°
Space group R-3m (No. 166, hexagonal axes)
Unique sites:
1 Sm 0.0000 0.0000 0.0000
2 Ga 0.0000 0.0000 0.1235
3 Ga 0.0000 0.0000 0.3963
4 Ag 0.0000 0.0000 0.5000
5 Pt 0.0000 0.0000 0.2433

The total magnetization comes out at 0.000 μB per formula unit. As for the formation enthalpy at 0 K: -0.555 eV per atom.

Record 2
# SrGa3AgPt

A relaxed structure of SrGa3AgPt (PBE-GGA, the Alexandria database).

Cell: 6.221 12.997 6.521 Å, 90.00 90.00 90.00°
Space group Cmcm (No. 63)
Unique sites:
1 Sr 0.000 0.224 0.250
2 Ga 0.000 0.354 0.750
3 Ga 0.205 0.000 0.000
4 Ag 0.000 0.151 0.750
5 Pt 0.000 0.452 0.250

The total magnetization comes out at 0.000 μB per formula unit. As for the formation enthalpy at 0 K: -0.345 eV per atom.

Record 3
# SrGa4AgPt2

A relaxed structure of SrGa4AgPt2 (PBE-GGA, the Alexandria database).

Cell: 4.3486 4.3486 28.5796 Å, 90.00 90.00 120.00°
Space group R-3m (No. 166, hexagonal axes)
Unique sites:
1 Sr 0.0000 0.0000 0.0000
2 Ga 0.0000 0.0000 0.1252
3 Ga 0.0000 0.0000 0.4033
4 Ag 0.0000 0.0000 0.5000
5 Pt 0.0000 0.0000 0.2365

The total magnetization comes out at 0.000 μB per formula unit. As for the formation enthalpy at 0 K: -0.492 eV per atom.

Record 4
# Sr2Ga4AgPt3

A relaxed structure of Sr2Ga4AgPt3 (PBE-GGA, the Alexandria database).

Cell: 4.525 4.525 10.155 Å, 90.00 90.00 90.00°
Space group P-4m2 (No. 115)
Unique sites:
1 Sr 0.000 0.500 0.250
2 Ga 0.000 0.000 0.000
3 Ga 0.000 0.500 0.628
4 Ga 0.500 0.500 0.000
5 Ag 0.000 0.000 0.500
6 Pt 0.000 0.500 0.876
7 Pt 0.500 0.500 0.500

The total magnetization comes out at 0.000 μB per formula unit. As for the formation enthalpy at 0 K: -0.745 eV per atom.

Record 5
# SrGaAgPt

A relaxed structure of SrGaAgPt (PBE-GGA, the Alexandria database).

Cell: 4.142 4.142 11.305 Å, 90.00 90.00 90.00°
Space group P4/nmm (No. 129, origin choice 2)
Unique sites:
1 Sr 0.250 0.250 0.242
2 Ga 0.250 0.750 0.500
3 Ag 0.250 0.750 0.000
4 Pt 0.250 0.250 0.629

The total magnetization comes out at 0.000 μB per formula unit. As for the formation enthalpy at 0 K: -0.521 eV per atom.

Record 6
# Tb2Ga3AgPt4

A relaxed structure of Tb2Ga3AgPt4 (PBE-GGA, the Alexandria database).

Cell: 4.021 4.021 11.814 Å, 90.00 90.00 90.00°
Space group P-4m2 (No. 115)
Unique sites:
1 Tb 0.000 0.500 0.248
2 Ga 0.000 0.000 0.000
3 Ga 0.000 0.500 0.630
4 Ag 0.500 0.500 0.000
5 Pt 0.000 0.000 0.500
6 Pt 0.000 0.500 0.838
7 Pt 0.500 0.500 0.500

The total magnetization comes out at 0.000 μB per formula unit. As for the formation enthalpy at 0 K: -0.856 eV per atom.

Record 7
# TbGaAgPt

A relaxed structure of TbGaAgPt (PBE-GGA, the Alexandria database).

Cell: 6.755 6.755 6.755 Å, 90.00 90.00 90.00°
Space group F-43m (No. 216)
Unique sites:
1 Tb 0.000 0.000 0.000
2 Ga 0.000 0.000 0.500
3 Ag 0.250 0.250 0.250
4 Pt 0.250 0.250 0.750

The total magnetization comes out at 0.000 μB per formula unit. As for the formation enthalpy at 0 K: -0.617 eV per atom.

Record 8
# Th2Ga3AgPt4

A relaxed structure of Th2Ga3AgPt4 (PBE-GGA, the Alexandria database).

Cell: 4.106 4.106 11.693 Å, 90.00 90.00 90.00°
Space group P-4m2 (No. 115)
Unique sites:
1 Th 0.000 0.500 0.250
2 Ga 0.000 0.000 0.000
3 Ga 0.000 0.500 0.626
4 Ag 0.500 0.500 0.000
5 Pt 0.000 0.000 0.500
6 Pt 0.000 0.500 0.838
7 Pt 0.500 0.500 0.500

The total magnetization comes out at 0.000 μB per formula unit. As for the formation enthalpy at 0 K: -0.847 eV per atom.

Record 9
# ThGaAgPt

A relaxed structure of ThGaAgPt (PBE-GGA, the Alexandria database).

Cell: 6.954 6.954 6.954 Å, 90.00 90.00 90.00°
Space group F-43m (No. 216)
Unique sites:
1 Th 0.000 0.000 0.000
2 Ga 0.000 0.000 0.500
3 Ag 0.250 0.250 0.250
4 Pt 0.250 0.250 0.750

The total magnetization comes out at 0.000 μB per formula unit. As for the formation enthalpy at 0 K: -0.537 eV per atom.

Record 10
# Th2Ga4AgPt3

A relaxed structure of Th2Ga4AgPt3 (PBE-GGA, the Alexandria database).

Cell: 4.333 4.333 10.482 Å, 90.00 90.00 90.00°
Space group P-4m2 (No. 115)
Unique sites:
1 Th 0.000 0.500 0.243
2 Ga 0.000 0.000 0.000
3 Ga 0.000 0.500 0.633
4 Ga 0.500 0.500 0.000
5 Ag 0.000 0.000 0.500
6 Pt 0.000 0.500 0.868
7 Pt 0.500 0.500 0.500

The total magnetization comes out at 0.000 μB per formula unit. As for the formation enthalpy at 0 K: -0.820 eV per atom.

Record 11
# TmGaAgPt

A relaxed structure of TmGaAgPt (PBE-GGA, the Alexandria database).

Cell: 6.676 6.676 6.676 Å, 90.00 90.00 90.00°
Space group F-43m (No. 216)
Unique sites:
1 Tm 0.000 0.000 0.000
2 Ga 0.000 0.000 0.500
3 Ag 0.250 0.250 0.750
4 Pt 0.250 0.250 0.250

The total magnetization comes out at 0.000 μB per formula unit. As for the formation enthalpy at 0 K: -0.653 eV per atom.

Record 12
# YGaAgPt

A relaxed structure of YGaAgPt (PBE-GGA, the Alexandria database).

Cell: 6.746 6.746 6.746 Å, 90.00 90.00 90.00°
Space group F-43m (No. 216)
Unique sites:
1 Y 0.000 0.000 0.000
2 Ga 0.000 0.000 0.500
3 Ag 0.250 0.250 0.750
4 Pt 0.250 0.250 0.250

The total magnetization comes out at 0.000 μB per formula unit. As for the formation enthalpy at 0 K: -0.620 eV per atom.

Record 13
# ZrGaAgPt

A relaxed structure of ZrGaAgPt (PBE-GGA, the Alexandria database).

Cell: 6.555 6.555 6.555 Å, 90.00 90.00 90.00°
Space group F-43m (No. 216)
Unique sites:
1 Zr 0.000 0.000 0.000
2 Ga 0.000 0.000 0.500
3 Ag 0.250 0.250 0.250
4 Pt 0.250 0.250 0.750

The total magnetization comes out at 0.000 μB per formula unit. As for the formation enthalpy at 0 K: -0.539 eV per atom.

Record 14
# Pu2Ga12Ag

A relaxed structure of Pu2Ga12Ag (PBE-GGA, the Alexandria database).

Cell: 6.181 6.181 15.485 Å, 90.00 90.00 90.00°
Space group P4/nbm (No. 125, origin choice 2)
Unique sites:
1 Pu 0.250 0.750 0.245
2 Ga 0.000 0.000 0.095
3 Ga 0.079 0.579 0.430
4 Ga 0.250 0.250 0.189
5 Ga 0.250 0.250 0.346
6 Ag 0.250 0.750 0.000

The total magnetization comes out at 11.153 μB per formula unit. As for the formation enthalpy at 0 K: -0.188 eV per atom.

Record 15
# Pu2GaAg

A relaxed structure of Pu2GaAg (PBE-GGA, the Alexandria database).

Cell: 6.096 9.262 3.115 Å, 90.00 90.00 90.00°
Space group Cmmm (No. 65)
Unique sites:
1 Pu 0.250 0.250 0.000
2 Ga 0.000 0.000 0.500
3 Ag 0.000 0.500 0.500

The total magnetization comes out at 11.355 μB per formula unit. As for the formation enthalpy at 0 K: -0.117 eV per atom.

Record 16
# Pu2GaAg

A relaxed structure of Pu2GaAg (PBE-GGA, the Alexandria database).

Cell: 5.554 5.554 3.020 Å, 90.00 90.00 90.00°
Space group P4/mmm (No. 123)
Unique sites:
1 Pu 0.000 0.500 0.000
2 Ga 0.000 0.000 0.500
3 Ag 0.500 0.500 0.500

The total magnetization comes out at 11.872 μB per formula unit. As for the formation enthalpy at 0 K: -0.082 eV per atom.

Record 17
# Pu2GaAg

A relaxed structure of Pu2GaAg (PBE-GGA, the Alexandria database).

Cell: 3.902 3.902 6.030 Å, 90.00 90.00 90.00°
Space group P4/mmm (No. 123)
Unique sites:
1 Pu 0.000 0.000 0.242
2 Ga 0.500 0.500 0.000
3 Ag 0.500 0.500 0.500

The total magnetization comes out at 11.588 μB per formula unit. As for the formation enthalpy at 0 K: -0.095 eV per atom.

Record 18
# PuGa2Ag5

A relaxed structure of PuGa2Ag5 (PBE-GGA, the Alexandria database).

Cell: 2.972 9.113 11.087 Å, 90.00 90.00 90.00°
Space group Immm (No. 71)
Unique sites:
1 Pu 0.000 0.000 0.000
2 Ga 0.000 0.500 0.253
3 Ag 0.000 0.225 0.366
4 Ag 0.000 0.500 0.000

The total magnetization comes out at 5.717 μB per formula unit. As for the formation enthalpy at 0 K: -0.066 eV per atom.

Record 19
# PuGa3Ag2

A relaxed structure of PuGa3Ag2 (PBE-GGA, the Alexandria database).

Cell: 14.804 7.313 4.700 Å, 90.00 108.29 90.00°
Space group C2/m (No. 12)
Unique sites:
1 Pu 0.133 0.000 0.133
2 Ga 0.000 0.332 0.000
3 Ga 0.181 0.288 0.681
4 Ag 0.000 0.189 0.500
5 Ag 0.184 0.500 0.184

The total magnetization comes out at 5.619 μB per formula unit. As for the formation enthalpy at 0 K: -0.150 eV per atom.

Record 20
# Pu3Ga4Ag2

A relaxed structure of Pu3Ga4Ag2 (PBE-GGA, the Alexandria database).

Cell: 10.333 4.810 8.820 Å, 90.00 123.77 90.00°
Space group C2/m (No. 12)
Unique sites:
1 Pu 0.000 0.000 0.000
2 Pu 0.164 0.500 0.670
3 Ga 0.049 0.000 0.383
4 Ga 0.232 0.500 0.065
5 Ag 0.117 0.500 0.283

The total magnetization comes out at 16.295 μB per formula unit. As for the formation enthalpy at 0 K: -0.284 eV per atom.

Record 21
# PuGa2Ag4

A relaxed structure of PuGa2Ag4 (PBE-GGA, the Alexandria database).

Cell: 4.6183 4.6183 22.2310 Å, 90.00 90.00 120.00°
Space group R-3m (No. 166, hexagonal axes)
Unique sites:
1 Pu 0.0000 0.0000 0.0000
2 Ga 0.0000 0.0000 0.2669
3 Ag 0.0000 0.0000 0.1436
4 Ag 0.0000 0.0000 0.4273

The total magnetization comes out at 5.823 μB per formula unit. As for the formation enthalpy at 0 K: -0.068 eV per atom.

Record 22
# Pu2Ga9Ag

A relaxed structure of Pu2Ga9Ag (PBE-GGA, the Alexandria database).

Cell: 5.5462 5.5462 26.7507 Å, 90.00 90.00 120.00°
Space group R-3m (No. 166, hexagonal axes)
Unique sites:
1 Pu 0.0000 0.0000 0.1434
2 Ga 0.0000 0.0000 0.3358
3 Ga 0.0000 0.0000 0.5000
4 Ga 0.0085 0.5043 0.9150
5 Ag 0.0000 0.0000 0.0000

The total magnetization comes out at 11.612 μB per formula unit. As for the formation enthalpy at 0 K: -0.089 eV per atom.

Record 23
# Pu4Ga3Ag

A relaxed structure of Pu4Ga3Ag (PBE-GGA, the Alexandria database).

Cell: 4.398 4.411 8.847 Å, 90.00 90.00 90.00°
Space group Pmmm (No. 47)
Unique sites:
1 Pu 0.000 0.000 0.000
2 Pu 0.000 0.000 0.500
3 Pu 0.000 0.500 0.240
4 Ga 0.500 0.000 0.251
5 Ga 0.500 0.500 0.000
6 Ag 0.500 0.500 0.500

The total magnetization comes out at 0.132 μB per formula unit. As for the formation enthalpy at 0 K: -0.143 eV per atom.